Entry 1:
This record from Alexandria via LeMat-Bulk describes Y2Ga2Rh5Pb after structural relaxation. The functional is PBE.

## Properties
ΔE_f: -0.738 eV per atom

abc: 3.651 9.859 9.859
angles: 90.00 90.00 90.00
Atoms (fractional coordinates):
Y (0.000, 0.325, 0.825)
Y (0.000, 0.675, 0.175)
Y (0.000, 0.825, 0.675)
Y (0.000, 0.175, 0.325)
Pb (0.000, 0.000, 0.000)
Pb (0.000, 0.500, 0.500)
Rh (0.500, 0.711, 0.430)
Rh (0.500, 0.570, 0.711)
Rh (0.500, 0.430, 0.289)
Rh (0.500, 0.211, 0.070)
Rh (0.500, 0.789, 0.930)
Rh (0.500, 0.500, 0.000)
Rh (0.500, 0.930, 0.211)
Rh (0.500, 0.289, 0.570)
Rh (0.500, 0.000, 0.500)
Rh (0.500, 0.070, 0.789)
Ga (0.000, 0.378, 0.122)
Ga (0.000, 0.878, 0.378)
Ga (0.000, 0.622, 0.878)
Ga (0.000, 0.122, 0.622)


Entry 2:
This record from Alexandria via LeMat-Bulk describes Ba5Ag2I2 after structural relaxation. The functional is PBE.

## Properties
formation energy from raw total energies: -0.665 eV per atom

abc: 9.177 9.202 10.369
angles: 90.00 63.73 90.00
Atoms (fractional coordinates):
Ag (0.631, 0.131, 0.000)
Ag (0.369, 0.869, 0.000)
Ag (0.131, 0.369, 0.000)
Ag (0.869, 0.631, 0.000)
Ba (0.037, 0.658, 0.244)
Ba (0.282, 0.658, 0.756)
Ba (0.500, 0.500, 0.000)
Ba (0.218, 0.158, 0.244)
Ba (0.718, 0.342, 0.244)
Ba (0.000, 0.000, 0.000)
Ba (0.963, 0.342, 0.756)
Ba (0.537, 0.842, 0.244)
Ba (0.782, 0.842, 0.756)
Ba (0.463, 0.158, 0.756)
I (0.710, 0.500, 0.579)
I (0.290, 0.500, 0.421)
I (0.210, 0.000, 0.579)
I (0.790, 0.000, 0.421)


Entry 3:
This record from Alexandria via LeMat-Bulk describes TiSbTe2Mo after structural relaxation. The functional is PBE.

## Properties
formation energy from raw total energies: 0.738 eV per atom
distance to the lowest polymorph of the same formula: 0 meV per atom

abc: 5.284 5.284 5.268
angles: 90.00 90.00 90.00
Each line ends with the local moment (μB).
Atoms (fractional coordinates):
Te (0.000, 0.500, 0.000)  -0.15
Te (0.500, 0.000, 0.000)  -0.15
Sb (0.000, 0.000, 0.500)  -0.14
Ti (0.000, 0.000, 0.000)  0.37
Mo (0.500, 0.500, 0.500)  3.65


Entry 4:
This record from Alexandria via LeMat-Bulk describes ZrRhIO6 after structural relaxation. The functional is PBE.

## Properties
formation energy from raw total energies: -1.153 eV per atom

abc: 5.450 5.450 8.733
angles: 90.00 90.00 120.00
Atoms (fractional coordinates):
O (0.330, 0.331, 0.375)
O (0.002, 0.670, 0.375)
O (0.670, 0.002, 0.875)
O (0.669, 0.670, 0.125)
O (0.669, 0.998, 0.375)
O (0.331, 0.002, 0.625)
O (0.998, 0.669, 0.875)
O (0.330, 0.998, 0.125)
O (0.331, 0.330, 0.875)
O (0.670, 0.669, 0.625)
O (0.998, 0.330, 0.625)
O (0.002, 0.331, 0.125)
Rh (0.000, 0.000, 0.000)
Rh (0.000, 0.000, 0.500)
Zr (0.667, 0.333, 0.750)
Zr (0.333, 0.667, 0.250)
I (0.667, 0.333, 0.250)
I (0.333, 0.667, 0.750)


Entry 5:
This record from Alexandria via LeMat-Bulk describes CaDy6Y5 after structural relaxation. The functional is PBE.

## Properties
ΔE_f: 0.053 eV per atom

abc: 6.199 6.199 11.844
angles: 95.00 95.00 119.98
Atoms (fractional coordinates):
Y (0.834, 0.166, 0.500)
Y (0.500, 0.500, 0.500)
Y (0.166, 0.834, 0.500)
Y (0.667, 0.333, 0.000)
Y (0.333, 0.667, 0.000)
Dy (0.085, 0.424, 0.253)
Dy (0.424, 0.085, 0.253)
Dy (0.576, 0.915, 0.747)
Dy (0.915, 0.576, 0.747)
Dy (0.746, 0.746, 0.253)
Dy (0.254, 0.254, 0.747)
Ca (0.000, 0.000, 0.000)


Entry 6:
This record from Alexandria via LeMat-Bulk describes Tb2Pr3Sm6Tm after structural relaxation. The functional is PBE.

## Properties
ΔE_f: 0.018 eV per atom

abc: 6.287 6.287 12.025
angles: 95.01 95.01 120.01
Atoms (fractional coordinates):
Sm (0.415, 0.082, 0.245)
Sm (0.082, 0.415, 0.245)
Sm (0.749, 0.749, 0.245)
Sm (0.918, 0.585, 0.755)
Sm (0.585, 0.918, 0.755)
Sm (0.251, 0.251, 0.755)
Tb (0.333, 0.667, 0.000)
Tb (0.667, 0.333, 0.000)
Pr (0.833, 0.167, 0.500)
Pr (0.500, 0.500, 0.500)
Pr (0.167, 0.833, 0.500)
Tm (0.000, 0.000, 0.000)


Entry 7:
This record from Alexandria via LeMat-Bulk describes Yb3Sb4Au3 after structural relaxation. The functional is PBE.

## Properties
formation energy from raw total energies: -0.707 eV per atom

abc: 8.708 8.708 8.708
angles: 109.47 109.47 109.47
Each line ends with the local moment (μB).
Atoms (fractional coordinates):
Yb (0.125, 0.875, 0.250)  0.20
Yb (0.625, 0.750, 0.375)  0.20
Yb (0.875, 0.250, 0.125)  0.20
Yb (0.250, 0.125, 0.875)  0.20
Yb (0.750, 0.375, 0.625)  0.20
Yb (0.375, 0.625, 0.750)  0.20
Au (0.125, 0.750, 0.875)  0.00
Au (0.250, 0.625, 0.375)  0.00
Au (0.750, 0.875, 0.125)  0.00
Au (0.375, 0.250, 0.625)  0.00
Au (0.625, 0.375, 0.250)  0.00
Au (0.875, 0.125, 0.750)  0.00
Sb (0.000, 0.167, 0.500)  0.01
Sb (0.333, 0.333, 0.333)  0.01
Sb (0.833, 0.833, 0.833)  0.01
Sb (0.500, 0.000, 0.667)  0.01
Sb (0.167, 0.500, 0.000)  0.01
Sb (0.667, 0.500, 0.000)  0.01
Sb (0.500, 0.000, 0.167)  0.01
Sb (0.000, 0.667, 0.500)  0.01


Entry 8:
This record from Alexandria via LeMat-Bulk describes Pm2V2Fe15 after structural relaxation. The functional is PBE.

## Properties
ΔE_f: -0.009 eV per atom

abc: 6.432 6.432 6.432
angles: 82.22 82.22 82.22
Each line ends with the local moment (μB).
Atoms (fractional coordinates):
Pm (0.346, 0.346, 0.346)  -0.28
Pm (0.654, 0.654, 0.654)  -0.28
V (0.904, 0.904, 0.904)  -1.01
V (0.096, 0.096, 0.096)  -1.01
Fe (0.155, 0.661, 0.661)  2.08
Fe (0.000, 0.000, 0.500)  1.80
Fe (0.703, 0.297, 0.000)  2.34
Fe (0.000, 0.297, 0.703)  2.34
Fe (0.703, 0.000, 0.297)  2.34
Fe (0.339, 0.339, 0.845)  2.08
Fe (0.500, 0.000, 0.000)  1.80
Fe (0.297, 0.000, 0.703)  2.34
Fe (0.297, 0.703, 0.000)  2.34
Fe (0.661, 0.661, 0.155)  2.08
Fe (0.000, 0.500, 0.000)  1.80
Fe (0.661, 0.155, 0.661)  2.08
Fe (0.000, 0.703, 0.297)  2.34
Fe (0.339, 0.845, 0.339)  2.08
Fe (0.845, 0.339, 0.339)  2.08


For each record above, in turn, the calculated raw total energy values are -6.683, -2.711, -5.088, -6.397, -5.108, -4.681, -3.797, -8.150 eV per atom.